(1)
MnCuSb: relaxed, PBE.

Summary:
ΔE to the lowest computed polymorph = 125 meV/atom
Formation energy from raw total energies = 21.3 kJ per mole of atoms
Volume = 102.53 Å³ per cell

a b c (Å): 3.599 3.599 7.913
angles (deg): 90.00 90.00 90.00
Space group I4mm (No. 107)
Unique sites:
Mn  0.000  0.000  0.000 (multiplicity 2)
Cu  0.000  0.000  0.331 (multiplicity 2)
Sb  0.000  0.000  0.659 (multiplicity 2)

(2)
Rb4SrTa3O12: relaxed, PBE.

Summary:
Formation energy from raw total energies = -210.2 kJ per mole of atoms
Volume = 619.33 Å³ per cell

a b c (Å): 8.524 8.524 8.524
angles (deg): 90.00 90.00 90.00
Space group Im-3m (No. 229)
Unique sites:
Rb  0.250  0.250  0.250 (multiplicity 8)
Sr  0.000  0.000  0.000 (multiplicity 2)
Ta  0.000  0.000  0.500 (multiplicity 6)
O  0.000  0.000  0.278 (multiplicity 12)
O  0.000  0.250  0.500 (multiplicity 12)

(3)
NaFe2Cl6: relaxed, PBE.

Summary:
Formation energy from raw total energies = -95.3 kJ per mole of atoms
Volume = 1044.56 Å³ per cell

a b c (Å): 13.073 12.237 6.665
angles (deg): 90.00 101.58 90.00
Space group C2/c (No. 15)
Unique sites:
Na  0.000  0.113  0.250 (multiplicity 4)
Fe  0.204  0.418  0.287 (multiplicity 8)
Cl  0.123  0.074  0.644 (multiplicity 8)
Cl  0.133  0.272  0.129 (multiplicity 8)
Cl  0.142  0.431  0.592 (multiplicity 8)

(4)
Ce6Co2Rh: relaxed, PBE.

Summary:
Energy of formation from the pure elements = -0.221 eV/atom
Volume = 827.45 Å³ per cell

a b c (Å): 9.063 9.440 9.671
angles (deg): 90.00 90.00 90.00
Space group Immm (No. 71)
Unique sites:
Ce  0.000  0.246  0.183 (multiplicity 8)
Ce  0.185  0.151  0.500 (multiplicity 8)
Ce  0.204  0.500  0.328 (multiplicity 8)
Co  0.000  0.000  0.290 (multiplicity 4)
Co  0.000  0.355  0.500 (multiplicity 4)
Rh  0.000  0.000  0.000 (multiplicity 2)
Rh  0.000  0.500  0.000 (multiplicity 2)

(5)
Na2Sr3Ag2Hg4: relaxed, PBE.

Summary:
Energy of formation from the pure elements = -0.326 eV/atom
Volume = 339.68 Å³ per cell

a b c (Å): 5.0007 5.0007 15.6850
angles (deg): 90.00 90.00 120.00
Space group P-3m1 (No. 164)
Unique sites:
Na  0.3333  0.6667  0.0634 (multiplicity 2)
Sr  0.0000  0.0000  0.2505 (multiplicity 2)
Sr  0.0000  0.0000  0.5000 (multiplicity 1)
Ag  0.3333  0.6667  0.6304 (multiplicity 2)
Hg  0.3333  0.6667  0.3740 (multiplicity 2)
Hg  0.3333  0.6667  0.8569 (multiplicity 2)

(6)
Ge2BiBI: relaxed, PBE.

Summary:
Formation energy from raw total energies = 139.3 kJ per mole of atoms
Volume = 136.90 Å³ per cell

a b c (Å): 5.534 5.534 4.470
angles (deg): 90.00 90.00 90.00
Space group P4/mmm (No. 123)
Unique sites:
Ge  0.000  0.500  0.000 (multiplicity 2)
Bi  0.000  0.000  0.500 (multiplicity 1)
B  0.500  0.500  0.500 (multiplicity 1)
I  0.500  0.500  0.000 (multiplicity 1)

(7)
V2BW2: relaxed, PBE.

Summary:
Energy of formation from the pure elements = 0.370 eV/atom
Volume = 279.40 Å³ per cell

a b c (Å): 4.202 4.202 15.822
angles (deg): 90.00 90.00 90.00
Space group I4_1/amd (No. 141, origin choice 2)
Unique sites:
V  0.000  0.250  0.043 (multiplicity 8)
B  0.000  0.250  0.875 (multiplicity 4)
W  0.000  0.250  0.196 (multiplicity 8)

(8)
TlAu2: relaxed, PBE.

Summary:
ΔE to the lowest computed polymorph = 38 meV/atom
Energy of formation from the pure elements = 0.039 eV/atom
Volume = 259.53 Å³ per cell

a b c (Å): 11.172 3.169 7.744
angles (deg): 90.00 108.80 90.00
Space group C2/m (No. 12)
Unique sites:
Tl  0.157  0.000  0.126 (multiplicity 4)
Au  0.053  0.500  0.753 (multiplicity 4)
Au  0.146  0.000  0.511 (multiplicity 4)

(9)
Ti3RhS4: relaxed, PBE.

Summary:
Formation energy from raw total energies = -104.1 kJ per mole of atoms
Volume = 253.18 Å³ per cell

a b c (Å): 9.497 5.433 4.907
angles (deg): 90.00 90.00 90.00
Space group Pmn2_1 (No. 31)
Unique sites:
Ti  0.000  0.183  0.000 (multiplicity 2)
Ti  0.249  0.182  0.579 (multiplicity 4)
Rh  0.000  0.905  0.452 (multiplicity 2)
S  0.000  0.319  0.534 (multiplicity 2)
S  0.000  0.729  0.015 (multiplicity 2)
S  0.248  0.271  0.074 (multiplicity 4)

(10)
UHgGeO6: relaxed, PBE.

Summary:
Formation energy from raw total energies = -177.5 kJ per mole of atoms
Volume = 248.53 Å³ per cell

a b c (Å): 5.3869 5.3869 9.8893
angles (deg): 90.00 90.00 120.00
Space group P-31c (No. 163)
Unique sites:
U  0.3333  0.6667  0.2500 (multiplicity 2)
Hg  0.0000  0.0000  0.0000 (multiplicity 2)
Ge  0.3333  0.6667  0.7500 (multiplicity 2)
O  0.0240  0.3778  0.6423 (multiplicity 12)

(11)
Ac4GeSb2Te: relaxed, PBE.

Summary:
Formation energy from raw total energies = -115.1 kJ per mole of atoms
Volume = 302.34 Å³ per cell

a b c (Å): 8.209 4.738 8.237
angles (deg): 90.00 109.30 90.00
Space group P2/m (No. 10)
Unique sites:
Ac  0.242  0.000  0.237 (multiplicity 2)
Ac  0.249  0.500  0.763 (multiplicity 2)
Ge  0.000  0.500  0.000 (multiplicity 1)
Sb  0.500  0.000  0.000 (multiplicity 1)
Sb  0.500  0.500  0.500 (multiplicity 1)
Te  0.000  0.000  0.500 (multiplicity 1)

(12)
SmTmAgOs: relaxed, PBE.

Summary:
ΔE to the lowest computed polymorph = 0 meV/atom
Energy of formation from the pure elements = -0.288 eV/atom
Volume = 89.24 Å³ per cell

a b c (Å): 3.415 3.415 7.652
angles (deg): 90.00 90.00 90.00
Space group P4mm (No. 99)
Unique sites:
Sm  0.000  0.000  0.000 (multiplicity 1)
Tm  0.000  0.000  0.559 (multiplicity 1)
Ag  0.500  0.500  0.298 (multiplicity 1)
Os  0.500  0.500  0.770 (multiplicity 1)

(13)
Sr2Cu2Sn3: relaxed, PBE.

Summary:
Energy of formation from the pure elements = -0.373 eV/atom
Volume = 724.15 Å³ per cell

a b c (Å): 4.792 20.410 7.404
angles (deg): 90.00 90.00 90.00
Space group Cmcm (No. 63)
Unique sites:
Sr  0.000  0.052  0.250 (multiplicity 4)
Sr  0.000  0.164  0.750 (multiplicity 4)
Cu  0.000  0.310  0.575 (multiplicity 8)
Sn  0.000  0.223  0.250 (multiplicity 4)
Sn  0.000  0.432  0.059 (multiplicity 8)

(14)
LaCoH3: relaxed, PBE.

Summary:
Calculated total energy = -19.20 eV per formula unit
Volume = 84.14 Å³ per cell

a b c (Å): 4.382 4.382 4.382
angles (deg): 90.00 90.00 90.00
Space group Pm-3m (No. 221)
Unique sites:
La  0.000  0.000  0.000 (multiplicity 1)
Co  0.500  0.500  0.500 (multiplicity 1)
H  0.000  0.000  0.500 (multiplicity 3)

(15)
SmDyTm3: relaxed, PBE.

Summary:
ΔE to the lowest computed polymorph = 0 meV/atom
Energy of formation from the pure elements = 0.005 eV/atom
Volume = 314.20 Å³ per cell

a b c (Å): 6.225 6.659 9.128
angles (deg): 107.69 90.05 117.83
Space group P-1 (No. 2)
Unique sites:
Sm  0.133  0.103  0.349 (multiplicity 2)
Dy  0.334  0.502  0.751 (multiplicity 2)
Tm  0.067  0.301  0.048 (multiplicity 2)
Tm  0.266  0.702  0.448 (multiplicity 2)
Tm  0.467  0.101  0.852 (multiplicity 2)

(16)
Sc2CoN: relaxed, PBE.

Summary:
Formation energy from raw total energies = -48.8 kJ per mole of atoms
Volume = 257.48 Å³ per cell

a b c (Å): 5.997 5.997 7.160
angles (deg): 90.00 90.00 90.00
Space group I-42d (No. 122)
Unique sites:
Sc  0.189  0.250  0.125 (multiplicity 8)
Co  0.000  0.000  0.500 (multiplicity 4)
N  0.000  0.000  0.000 (multiplicity 4)

(17)
K2TcPb: relaxed, PBE.

Summary:
Energy of formation from the pure elements = 1.003 eV/atom
Volume = 341.83 Å³ per cell

a b c (Å): 3.2855 3.2855 36.5659
angles (deg): 90.00 90.00 120.00
Space group R-3m (No. 166, hexagonal axes)
Unique sites:
K  0.0000  0.0000  0.2440 (multiplicity 6)
Tc  0.0000  0.0000  0.5000 (multiplicity 3)
Pb  0.0000  0.0000  0.0000 (multiplicity 3)

(18)
LiTh2AlGa6: relaxed, PBE.

Summary:
Energy of formation from the pure elements = -0.315 eV/atom
Volume = 206.37 Å³ per cell

a b c (Å): 5.472 6.573 6.665
angles (deg): 75.47 69.08 68.53
Space group P-1 (No. 2)
Unique sites:
Li  0.000  0.000  0.000 (multiplicity 1)
Th  0.490  0.253  0.747 (multiplicity 2)
Al  0.000  0.500  0.500 (multiplicity 1)
Ga  0.004  0.304  0.190 (multiplicity 2)
Ga  0.133  0.072  0.589 (multiplicity 2)
Ga  0.496  0.735  0.770 (multiplicity 2)

(19)
Ag2Te2Rh: relaxed, PBE.

Summary:
Formation energy from raw total energies = 15.0 kJ per mole of atoms
Volume = 227.45 Å³ per cell

a b c (Å): 7.169 7.169 4.426
angles (deg): 90.00 90.00 90.00
Space group P4/mbm (No. 127)
Unique sites:
Ag  0.145  0.355  0.000 (multiplicity 4)
Te  0.171  0.671  0.500 (multiplicity 4)
Rh  0.000  0.000  0.500 (multiplicity 2)

(20)
Sn3SbN: relaxed, PBE.

Summary:
ΔE to the lowest computed polymorph = 1410 meV/atom
Formation energy from raw total energies = 174.9 kJ per mole of atoms
Volume = 187.49 Å³ per cell

a b c (Å): 5.724 5.724 5.724
angles (deg): 90.00 90.00 90.00
Space group Pm-3m (No. 221)
Unique sites:
Sn  0.000  0.000  0.500 (multiplicity 3)
Sb  0.000  0.000  0.000 (multiplicity 1)
N  0.500  0.500  0.500 (multiplicity 1)